(1)
The following is a DFT calculation (PBE-GGA) of AgAs2PtCl after structural relaxation.

Cell lengths 4.9100, 4.5840, 4.9100 Å; angles 90.00, 90.00, 90.00 degrees
With the nearest neighbours (Å) after each atom.
Positions (direct):
As: 0.0000 0.0000 0.5000  2 Cl 2.46
As: 0.5000 0.0000 0.0000  2 Cl 2.46
Ag: 0.5000 0.5000 0.5000  8 As 3.36, 4 Pt 3.47
Pt: 0.0000 0.5000 0.0000  2 Cl 2.29
Cl: 0.0000 0.0000 0.0000  2 Pt 2.29, 4 As 2.46

Summary:
- Total magnetic moment: 0.0 Bohr magnetons per cell
- E: -2.92 eV per atom
- Space group: P4/mmm

(2)
The following is a DFT calculation (PBE-GGA) of Rb2AgAsCl6 after structural relaxation.

Cell lengths 7.3958, 7.3958, 7.3958 Å; angles 60.00, 60.00, 60.00 degrees
With the nearest neighbours (Å) after each atom.
Positions (direct):
Rb: 0.7500 0.7500 0.7500  12 Cl 3.70
Rb: 0.2500 0.2500 0.2500  12 Cl 3.70
Ag: 0.5000 0.5000 0.5000  6 Cl 2.71
As: 0.0000 0.0000 0.0000  6 Cl 2.52
Cl: 0.7592 0.2408 0.2408  1 As 2.52, 1 Ag 2.71
Cl: 0.2408 0.2408 0.7592  1 As 2.52, 1 Ag 2.71
Cl: 0.2408 0.7592 0.7592  1 As 2.52, 1 Ag 2.71
Cl: 0.2408 0.7592 0.2408  1 As 2.52, 1 Ag 2.71
Cl: 0.7592 0.2408 0.7592  1 As 2.52, 1 Ag 2.71
Cl: 0.7592 0.7592 0.2408  1 As 2.52, 1 Ag 2.71

Summary:
- Total magnetic moment: 0.0 Bohr magnetons per cell
- E: -3.22 eV per atom
- Space group: Fm-3m

(3)
The following is a DFT calculation (PBE-GGA) of RbAg2AsCl8 after structural relaxation.

Cell lengths 8.5167, 6.2608, 8.9788 Å; angles 61.89, 67.15, 75.58 degrees
With the nearest neighbours (Å) after each atom.
Positions (direct):
Rb: 0.0000 0.0000 0.5000  8 Cl 3.42-3.68
Ag: 0.3498 0.4464 0.7225  4 Cl 2.44-2.57
Ag: 0.6502 0.5536 0.2775  4 Cl 2.44-2.57
As: 0.0000 0.0000 0.0000  6 Cl 2.40-2.49
Cl: 0.9724 0.6691 0.2918  1 As 2.42
Cl: 0.7383 0.9073 0.9878  1 Ag 2.47, 1 As 2.49
Cl: 0.8301 0.2656 0.1379  1 As 2.40, 1 Ag 2.54
Cl: 0.0276 0.3309 0.7082  1 As 2.42
Cl: 0.2617 0.0927 0.0122  1 Ag 2.47, 1 As 2.49
Cl: 0.1699 0.7344 0.8621  1 As 2.40, 1 Ag 2.54
Cl: 0.4233 0.8000 0.4366  2 Ag 2.44-2.57
Cl: 0.5767 0.2000 0.5634  2 Ag 2.44-2.57

Summary:
- Total magnetic moment: 0.0 Bohr magnetons per cell
- E: -2.88 eV per atom
- Space group: P-1

(4)
The following is a DFT calculation (PBE-GGA) of RbAgAsCl6 after structural relaxation.

Cell lengths 7.2452, 6.7775, 6.7775 Å; angles 120.00, 90.00, 90.00 degrees
With the nearest neighbours (Å) after each atom.
Positions (direct):
Rb: 0.0000 0.3333 0.6667  6 Cl 3.35
Ag: 0.5000 0.6667 0.3333  6 Cl 2.64
As: 0.5000 0.0000 0.0000  6 Cl 2.53
Cl: 0.7033 0.7181 0.6784  1 As 2.53, 1 Ag 2.64
Cl: 0.7033 0.3216 0.0397  1 As 2.53, 1 Ag 2.64
Cl: 0.7033 0.9603 0.2819  1 As 2.53, 1 Ag 2.64
Cl: 0.2967 0.3216 0.2819  1 As 2.53, 1 Ag 2.64
Cl: 0.2967 0.7181 0.0397  1 As 2.53, 1 Ag 2.64
Cl: 0.2967 0.9603 0.6784  1 As 2.53, 1 Ag 2.64

Summary:
- Total magnetic moment: 1.2 Bohr magnetons per cell
- E: -2.99 eV per atom
- Space group: P312

(5)
The following is a DFT calculation (PBE-GGA) of Ag4As2Se5Cl after structural relaxation.

Cell lengths 6.4255, 6.9084, 7.5932 Å; angles 90.00, 90.00, 117.71 degrees
With the nearest neighbours (Å) after each atom.
Positions (direct):
Ag: 0.6786 0.0000 0.2968  3 Se 2.64-2.70, 1 Cl 2.75
Ag: 0.6786 0.0000 0.7032  3 Se 2.64-2.70, 1 Cl 2.75
Ag: 0.3634 0.3454 0.0000  1 Cl 2.63, 2 Se 2.70
Ag: 0.0180 0.6546 0.0000  1 Cl 2.63, 2 Se 2.70
As: 0.9718 0.6305 0.5000  3 Se 2.51-2.53
As: 0.3412 0.3695 0.5000  3 Se 2.51-2.53
Se: 0.0774 0.3614 0.2537  1 As 2.51, 2 Ag 2.64-2.70
Se: 0.3338 0.0000 0.5000  2 As 2.53, 2 Ag 2.70
Se: 0.0774 0.3614 0.7463  1 As 2.51, 2 Ag 2.64-2.70
Se: 0.7159 0.6386 0.7463  1 As 2.51, 2 Ag 2.64-2.70
Se: 0.7159 0.6386 0.2537  1 As 2.51, 2 Ag 2.64-2.70
Cl: 0.4337 0.0000 0.0000  4 Ag 2.63-2.75

Summary:
- Total magnetic moment: 0.0 Bohr magnetons per cell
- E: -3.42 eV per atom
- Space group: Amm2

(6)
The following is a DFT calculation (PBE-GGA) of Si2AgAsCl after structural relaxation.

Cell lengths 4.9141, 4.8666, 4.9141 Å; angles 90.00, 90.00, 90.00 degrees
With the nearest neighbours (Å) after each atom.
Positions (direct):
As: 0.5000 0.5000 0.5000  8 Si 3.46, 4 Cl 3.47
Si: 0.0000 0.0000 0.5000  2 Ag 2.46
Si: 0.5000 0.0000 0.0000  2 Ag 2.46
Ag: 0.0000 0.0000 0.0000  2 Cl 2.43, 4 Si 2.46
Cl: 0.0000 0.5000 0.0000  2 Ag 2.43

Summary:
- Total magnetic moment: 0.0 Bohr magnetons per cell
- E: -3.08 eV per atom
- Space group: P4/mmm

(7)
The following is a DFT calculation (PBE-GGA) of AgSnAsCl2 after structural relaxation.

Cell lengths 4.8397, 5.9826, 4.8397 Å; angles 90.00, 90.00, 90.00 degrees
With the nearest neighbours (Å) after each atom.
Positions (direct):
As: 0.0000 0.0000 0.0000  4 Cl 2.42
Sn: 0.0000 0.5000 0.0000  2 As 2.99
Ag: 0.5000 0.5000 0.5000  4 Sn 3.42
Cl: 0.0000 0.0000 0.5000  2 As 2.42
Cl: 0.5000 0.0000 0.0000  2 As 2.42

Summary:
- Total magnetic moment: 0.0 Bohr magnetons per cell
- E: -2.94 eV per atom
- Space group: P4/mmm

(8)
The following is a DFT calculation (PBE-GGA) of TlAg2AsCl6 after structural relaxation.

Cell lengths 7.0548, 7.0393, 8.2011 Å; angles 64.36, 63.99, 59.72 degrees
With the nearest neighbours (Å) after each atom.
Positions (direct):
Tl: 0.8170 0.8186 0.5465  6 Cl 3.16-3.34
Ag: 0.5895 0.5860 0.2354  3 Cl 2.51
Ag: 0.9891 0.9886 0.0302  6 Cl 2.74-2.85
As: 0.3309 0.3316 0.0052  3 Cl 2.36-2.38
Cl: 0.5777 0.2321 0.2423  2 Ag 2.51-2.74, 1 As 2.80
Cl: 0.2357 0.9473 0.2407  2 Ag 2.51-2.79, 1 As 2.77
Cl: 0.9460 0.5718 0.2472  2 Ag 2.51-2.79, 1 As 2.78
Cl: 0.3607 0.6902 0.8238  1 As 2.38
Cl: 0.6882 0.1295 0.8198  1 As 2.36
Cl: 0.1269 0.3659 0.8241  1 As 2.36

Summary:
- Total magnetic moment: 0.0 Bohr magnetons per cell
- E: -3.02 eV per atom
- Space group: P1

(9)
The following is a DFT calculation (PBE-GGA) of Tl2AgAsCl6 after structural relaxation.

Cell lengths 7.3165, 7.3918, 7.2447 Å; angles 119.24, 119.93, 91.36 degrees
With the nearest neighbours (Å) after each atom.
Positions (direct):
Tl: 0.7368 0.2365 0.4941  6 Cl 3.29-3.44
Tl: 0.2624 0.7639 0.5033  6 Cl 3.29-3.43
Ag: 0.4998 0.5005 0.0000  6 Cl 2.71-2.76
As: 0.0000 0.0006 0.0001  6 Cl 2.52-2.53
Cl: 0.8031 0.8125 0.0972  1 As 2.52, 1 Ag 2.71
Cl: 0.7315 0.6931 0.5201  1 As 2.52, 1 Ag 2.71
Cl: 0.1968 0.1882 0.9028  1 As 2.52, 1 Ag 2.71
Cl: 0.7353 0.2141 0.9488  1 As 2.53, 1 Ag 2.76
Cl: 0.2684 0.3080 0.4799  1 As 2.52, 1 Ag 2.71
Cl: 0.2649 0.7866 0.0516  1 As 2.53, 1 Ag 2.76

Summary:
- Total magnetic moment: 0.0 Bohr magnetons per cell
- E: -3.10 eV per atom
- Space group: P1

(10)
The following is a DFT calculation (PBE-GGA) of ZnAgAsCl2 after structural relaxation.

Cell lengths 5.1126, 5.0056, 5.1126 Å; angles 90.00, 90.00, 90.00 degrees
With the nearest neighbours (Å) after each atom.
Positions (direct):
As: 0.0000 0.0000 0.0000  2 Zn 2.50, 4 Cl 2.56
Zn: 0.0000 0.5000 0.0000  2 As 2.50
Ag: 0.5000 0.5000 0.5000  8 Cl 3.58, 4 Zn 3.62
Cl: 0.0000 0.0000 0.5000  2 As 2.56
Cl: 0.5000 0.0000 0.0000  2 As 2.56

Summary:
- Total magnetic moment: 0.0 Bohr magnetons per cell
- E: -2.34 eV per atom
- Space group: P4/mmm

(11)
The following is a DFT calculation (PBE-GGA) of CoAg2As after structural relaxation.

Cell lengths 9.2933, 9.2933, 9.2933 Å; angles 18.00, 18.00, 18.00 degrees
With the nearest neighbours (Å) after each atom.
Positions (direct):
Ag: 0.0045 0.0045 0.0045  3 Co 2.74, 6 Ag 2.91, 3 As 2.94
Ag: 0.4955 0.4955 0.4955  3 Co 2.74, 6 Ag 2.91, 3 As 2.94
As: 0.2500 0.2500 0.2500  6 As 2.91, 6 Ag 2.94
Co: 0.7500 0.7500 0.7500  6 Ag 2.74, 6 Co 2.91

Summary:
- Total magnetic moment: 2.0 Bohr magnetons per cell
- Energy of formation: 414 meV per atom
- Space group: R-3m

(12)
The following is a DFT calculation (PBE-GGA) of CoAgAs after structural relaxation.

Cell lengths 3.9427, 3.9427, 3.5295 Å; angles 90.00, 90.00, 120.00 degrees
With the nearest neighbours (Å) after each atom.
Positions (direct):
Ag: 0.0000 0.0000 0.9999  6 Co 2.88, 6 As 2.88
As: 0.6667 0.3333 0.4998  3 Co 2.28
Co: 0.3333 0.6667 0.5003  3 As 2.28

Summary:
- Total magnetic moment: 0.0 Bohr magnetons per cell
- Energy of formation: 137 meV per atom
- Space group: P-6m2
- Relative energy among the computed polymorphs: 172.4 meV per atom